[1]
Entry from Alexandria via LeMat-Bulk: a relaxed structure of ZrSc3Sb (GGA-PBE).

## Properties
DOS(E_F) in states/eV/cell: 5.8
Space-group type: Pm-3m
E_form (uncorrected) in meV per atom: 395.1

Unit cell a=5.306 b=5.306 c=5.306 alpha=90.00 beta=90.00 gamma=90.00
Sites, in units of the cell vectors:
Sb 0.000 0.000 0.000
Zr 0.500 0.500 0.500
Sc 0.000 0.500 0.000
Sc 0.000 0.000 0.500
Sc 0.500 0.000 0.000

[2]
Entry from Alexandria via LeMat-Bulk: a relaxed structure of PmSmAgSb (GGA-PBE).

## Properties
DOS(E_F) in states/eV/cell: 4.2
Space-group type: F-43m
E_form (uncorrected) in meV per atom: -594.2

Unit cell a=5.332 b=5.332 c=5.332 alpha=60.00 beta=60.00 gamma=60.00
Sites, in units of the cell vectors:
Sb 0.750 0.750 0.750
Pm 0.000 0.000 0.000
Sm 0.500 0.500 0.500
Ag 0.250 0.250 0.250

[3]
Entry from Alexandria via LeMat-Bulk: a relaxed structure of Ce2B10Ir (GGA-PBE).

## Properties
DOS(E_F) in states/eV/cell: 15.2
Energy of formation in kJ/mol of atoms: -57.4
Space-group type: Pbam

Unit cell a=4.191 b=5.710 c=11.413 alpha=90.00 beta=90.00 gamma=90.00
Sites, in units of the cell vectors:
B 0.000 0.618 0.957
B 0.698 0.218 0.119
B 0.000 0.863 0.303
Ce 0.500 0.794 0.635
B 0.000 0.118 0.543
Ce 0.500 0.206 0.365
B 0.000 0.363 0.197
B 0.000 0.382 0.043
B 0.000 0.946 0.807
B 0.000 0.554 0.307
B 0.000 0.137 0.697
B 0.302 0.218 0.119
B 0.302 0.718 0.381
Ce 0.500 0.706 0.135
B 0.698 0.282 0.619
B 0.000 0.446 0.693
Ir 0.000 0.500 0.500
B 0.000 0.637 0.803
B 0.000 0.054 0.193
B 0.698 0.718 0.381
Ce 0.500 0.294 0.865
B 0.000 0.882 0.457
B 0.698 0.782 0.881
B 0.302 0.282 0.619
B 0.302 0.782 0.881
Ir 0.000 0.000 0.000